[1]
# GGA-PBEsol CoTcIr2, optimized geometry
# DFT formation energy (meV/atom): -86
# ΔE to the lowest computed polymorph (meV per atom): 14
# N(E_F) (states/eV per atom): 1.249
# ρ (kg/m3): 17135
data_CoTcIr2
_space_group_name_H-M_alt 'P 4/m m m'
_space_group_IT_number 123
_space_group_name_Hall '-P 4 2'
_cell_length_a 2.6758
_cell_length_b 2.6758
_cell_length_c 7.3278
_cell_angle_alpha 90.00
_cell_angle_beta 90.00
_cell_angle_gamma 90.00
loop_
_atom_site_label
_atom_site_fract_x
_atom_site_fract_y
_atom_site_fract_z
_atom_site_occupancy
Co1 0.0000 0.0000 0.0000 1
Tc1 0.0000 0.0000 0.5000 1
Ir1 0.5000 0.5000 0.2411 1

***

[2]
# GGA-PBEsol LiScCu2, optimized geometry
# DFT formation energy (meV/atom): -87
# N(E_F) (states/eV per atom): 0.515
# ρ (kg/m3): 5151
data_LiScCu2
_space_group_name_H-M_alt 'P 4/m m m'
_space_group_IT_number 123
_space_group_name_Hall '-P 4 2'
_cell_length_a 3.1165
_cell_length_b 3.1165
_cell_length_c 5.9415
_cell_angle_alpha 90.00
_cell_angle_beta 90.00
_cell_angle_gamma 90.00
loop_
_atom_site_label
_atom_site_fract_x
_atom_site_fract_y
_atom_site_fract_z
_atom_site_occupancy
Li1 0.0000 0.0000 0.0000 1
Sc1 0.0000 0.0000 0.5000 1
Cu1 0.5000 0.5000 0.2206 1

***

[3]
# GGA-PBEsol AlReAs2, optimized geometry
# DFT formation energy (meV/atom): 18
# N(E_F) (states/eV per atom): 0.331
# ρ (kg/m3): 8812
data_AlReAs2
_space_group_name_H-M_alt 'R 3 m'
_space_group_IT_number 160
_space_group_name_Hall 'R 3 -2"'
_cell_length_a 2.9234
_cell_length_b 2.9234
_cell_length_c 27.7290
_cell_angle_alpha 90.00
_cell_angle_beta 90.00
_cell_angle_gamma 120.00
loop_
_atom_site_label
_atom_site_fract_x
_atom_site_fract_y
_atom_site_fract_z
_atom_site_occupancy
Al1 0.0000 0.0000 0.0000 1
Re1 0.0000 0.0000 0.2589 1
As1 0.0000 0.0000 0.5245 1
As2 0.0000 0.0000 0.7459 1

***

[4]
# GGA-PBEsol CaIn2Sb, optimized geometry
# ΔE_f (raw) (eV per atom): -0.1474
# N(E_F) (states/eV per atom): 0.540
# ρ (kg/m3): 5375
data_CaIn2Sb
_space_group_name_H-M_alt 'R -3 m'
_space_group_IT_number 166
_space_group_name_Hall '-R 3 2"'
_cell_length_a 4.2337
_cell_length_b 4.2337
_cell_length_c 23.3730
_cell_angle_alpha 90.00
_cell_angle_beta 90.00
_cell_angle_gamma 120.00
loop_
_atom_site_label
_atom_site_fract_x
_atom_site_fract_y
_atom_site_fract_z
_atom_site_occupancy
Ca1 0.0000 0.0000 0.0000 1
In1 0.0000 0.0000 0.2392 1
Sb1 0.0000 0.0000 0.5000 1

***

[5]
# GGA-PBEsol CsNbCl2, optimized geometry
# ΔE_f (raw) (eV per atom): -0.0702
# N(E_F) (states/eV per atom): 1.110
# ρ (kg/m3): 4722
data_CsNbCl2
_space_group_name_H-M_alt 'F m -3 m'
_space_group_IT_number 225
_space_group_name_Hall '-F 4 2 3'
_cell_length_a 7.4733
_cell_length_b 7.4733
_cell_length_c 7.4733
_cell_angle_alpha 90.00
_cell_angle_beta 90.00
_cell_angle_gamma 90.00
loop_
_atom_site_label
_atom_site_fract_x
_atom_site_fract_y
_atom_site_fract_z
_atom_site_occupancy
Cs1 0.0000 0.0000 0.0000 1
Nb1 0.0000 0.0000 0.5000 1
Cl1 0.2500 0.2500 0.2500 1

***

[6]
# GGA-PBEsol LiTe2Se2, optimized geometry
# ΔE_f (raw) (eV per atom): -0.1335
# N(E_F) (states/eV per atom): 0.497
# ρ (kg/m3): 5639
data_LiTe2Se2
_space_group_name_H-M_alt 'P 4/m b m'
_space_group_IT_number 127
_space_group_name_Hall '-P 4 2ab'
_cell_length_a 7.7586
_cell_length_b 7.7586
_cell_length_c 4.1098
_cell_angle_alpha 90.00
_cell_angle_beta 90.00
_cell_angle_gamma 90.00
loop_
_atom_site_label
_atom_site_fract_x
_atom_site_fract_y
_atom_site_fract_z
_atom_site_occupancy
Li1 0.0000 0.0000 0.0000 1
Te1 0.1644 0.3356 0.0000 1
Se1 0.1654 0.6654 0.5000 1